No. 1
Material: Cs5K6Rb3
Method: DFT, PBE
State: relaxed

Calculated values
The value obtained for the density of states at the Fermi level is 14.0 states/eV per cell. As for the space group: No. 71. The calculation puts the calculated total energy at -0.943 eV/atom.

a = 13.345 Å, b = 13.345 Å, c = 13.345 Å
α = 144.77°, β = 97.64°, γ = 92.88°
Fractional positions:
Cs1 0.000 0.000 0.000
Cs2 0.222 0.869 0.353
Cs3 0.484 0.131 0.353
Cs4 0.516 0.869 0.647
Cs5 0.778 0.131 0.647
K1 0.121 0.245 0.876
K2 0.147 0.647 0.500
K3 0.368 0.245 0.124
K4 0.632 0.755 0.876
K5 0.853 0.353 0.500
K6 0.879 0.755 0.124
Rb1 0.217 0.500 0.717
Rb2 0.500 0.500 0.000
Rb3 0.783 0.500 0.283

***

No. 2
Material: Cs8K4Rb3
Method: DFT, PBE
State: relaxed

Calculated values
The value obtained for the density of states at the Fermi level is 14.4 states/eV per cell. As for the space group: No. 12. The calculation puts the calculated total energy at -0.881 eV/atom.

a = 13.583 Å, b = 13.583 Å, c = 9.691 Å
α = 110.55°, β = 110.55°, γ = 87.17°
Fractional positions:
Cs1 0.154 0.846 0.000
Cs2 0.250 0.250 0.006
Cs3 0.250 0.250 0.500
Cs4 0.263 0.737 0.500
Cs5 0.737 0.263 0.500
Cs6 0.750 0.750 0.500
Cs7 0.750 0.750 0.994
Cs8 0.846 0.154 0.000
K1 0.000 0.500 0.500
K2 0.500 0.000 0.500
K3 0.500 0.500 0.000
K4 0.500 0.500 0.500
Rb1 0.000 0.000 0.500
Rb2 0.000 0.500 0.000
Rb3 0.500 0.000 0.000

***

No. 3
Material: Cs6K10Rb
Method: DFT, PBE
State: relaxed

Calculated values
The value obtained for the density of states at the Fermi level is 16.6 states/eV per cell. As for the space group: No. 162. The calculation puts the calculated total energy at -0.968 eV/atom.

a = 13.504 Å, b = 13.504 Å, c = 9.735 Å
α = 90.00°, β = 90.00°, γ = 120.00°
Fractional positions:
Cs1 0.000 0.351 0.325
Cs2 0.000 0.649 0.675
Cs3 0.351 0.000 0.325
Cs4 0.351 0.351 0.675
Cs5 0.649 0.000 0.675
Cs6 0.649 0.649 0.325
K1 0.000 0.309 0.845
K2 0.000 0.691 0.155
K3 0.309 0.000 0.845
K4 0.309 0.309 0.155
K5 0.333 0.667 0.000
K6 0.333 0.667 0.500
K7 0.667 0.333 0.000
K8 0.667 0.333 0.500
K9 0.691 0.000 0.155
K10 0.691 0.691 0.845
Rb1 0.000 0.000 0.500

***

No. 4
Material: Cs6K16Rb7
Method: DFT, PBE
State: relaxed

Calculated values
The value obtained for the density of states at the Fermi level is 29.2 states/eV per cell. As for the space group: No. 225. The calculation puts the calculated total energy at -0.996 eV/atom.

a = 15.357 Å, b = 15.357 Å, c = 15.357 Å
α = 60.00°, β = 60.00°, γ = 60.00°
Fractional positions:
Cs1 0.201 0.201 0.799
Cs2 0.201 0.799 0.201
Cs3 0.201 0.799 0.799
Cs4 0.799 0.201 0.201
Cs5 0.799 0.201 0.799
Cs6 0.799 0.799 0.201
K1 0.141 0.620 0.620
K2 0.172 0.172 0.172
K3 0.172 0.172 0.483
K4 0.172 0.483 0.172
K5 0.380 0.380 0.380
K6 0.380 0.380 0.859
K7 0.380 0.859 0.380
K8 0.483 0.172 0.172
K9 0.517 0.828 0.828
K10 0.620 0.141 0.620
K11 0.620 0.620 0.141
K12 0.620 0.620 0.620
K13 0.828 0.517 0.828
K14 0.828 0.828 0.517
K15 0.828 0.828 0.828
K16 0.859 0.380 0.380
Rb1 0.000 0.000 0.500
Rb2 0.000 0.500 0.000
Rb3 0.000 0.500 0.500
Rb4 0.500 0.000 0.000
Rb5 0.500 0.000 0.500
Rb6 0.500 0.500 0.000
Rb7 0.500 0.500 0.500

***

No. 5
Material: Cs2KRb3
Method: DFT, PBE
State: relaxed

Calculated values
The value obtained for the density of states at the Fermi level is 12.1 states/eV per cell. As for the space group: No. 15. The calculation puts the calculated total energy at -0.930 eV/atom.

a = 12.919 Å, b = 12.919 Å, c = 10.183 Å
α = 100.89°, β = 100.89°, γ = 44.51°
Fractional positions:
Cs1 0.164 0.186 0.100
Cs2 0.186 0.164 0.600
Cs3 0.814 0.836 0.400
Cs4 0.836 0.814 0.900
K1 0.243 0.757 0.250
K2 0.757 0.243 0.750
Rb1 0.224 0.776 0.750
Rb2 0.354 0.374 0.442
Rb3 0.374 0.354 0.942
Rb4 0.626 0.646 0.058
Rb5 0.646 0.626 0.558
Rb6 0.776 0.224 0.250

***

No. 6
Material: Cs3K2Rb
Method: DFT, PBE
State: relaxed

Calculated values
The value obtained for the density of states at the Fermi level is 5.4 states/eV per cell. As for the space group: No. 123. The calculation puts the calculated total energy at -0.951 eV/atom.

a = 5.643 Å, b = 5.643 Å, c = 17.973 Å
α = 90.00°, β = 90.00°, γ = 90.00°
Fractional positions:
Cs1 0.000 0.000 0.000
Cs2 0.000 0.000 0.324
Cs3 0.000 0.000 0.676
K1 0.500 0.500 0.161
K2 0.500 0.500 0.839
Rb1 0.500 0.500 0.500